Here is an optimized crystal structure of Pm4Y7Ho from Alexandria. Energies are from PBE.

Values from the calculation:
ΔH_f (0 K) ... 0.0846 eV/atom

Lattice parameters (Å, degrees): 6.580 6.864 9.146 85.47 77.08 81.86
Atoms (fractional coordinates):
Pm 0.142 0.315 0.283
Pm 0.337 0.881 0.695
Pm 0.663 0.119 0.305
Pm 0.858 0.685 0.717
Y 0.010 0.252 0.951
Y 0.179 0.808 0.361
Y 0.313 0.392 0.618
Y 0.500 0.000 0.000
Y 0.687 0.608 0.382
Y 0.821 0.192 0.639
Y 0.990 0.748 0.049
Ho 0.500 0.500 0.000

Here is an optimized crystal structure of Zr2TlPt from Alexandria. Energies are from PBE.

Values from the calculation:
ΔH_f (0 K) ... -0.2008 eV/atom

Lattice parameters (Å, degrees): 5.047 3.296 5.406 90.00 108.52 90.00
Atoms (fractional coordinates):
Zr 0.000 0.000 0.000
Zr 0.000 0.500 0.500
Tl 0.500 0.000 0.500
Pt 0.500 0.500 0.000

Here is an optimized crystal structure of SmEr2SnC from Alexandria. Energies are from PBE.

Values from the calculation:
ΔH_f (0 K) ... -0.6057 eV/atom

Lattice parameters (Å, degrees): 4.848 4.848 5.021 90.00 90.00 90.00
Atoms (fractional coordinates):
Sm 0.000 0.000 0.000
Er 0.000 0.500 0.500
Er 0.500 0.000 0.500
Sn 0.500 0.500 0.000
C 0.000 0.000 0.500

Here is an optimized crystal structure of TeRu2Pt from Alexandria. Energies are from PBE.

Values from the calculation:
Formation energy (no corrections) ... 498 meV/atom

Lattice parameters (Å, degrees): 6.433 6.433 6.433 90.00 90.00 90.00
Atoms (fractional coordinates):
Te 0.000 0.000 0.000
Te 0.000 0.500 0.500
Te 0.500 0.000 0.500
Te 0.500 0.500 0.000
Ru 0.000 0.000 0.500
Ru 0.000 0.500 0.000
Ru 0.250 0.250 0.750
Ru 0.250 0.750 0.250
Ru 0.500 0.000 0.000
Ru 0.500 0.500 0.500
Ru 0.750 0.250 0.250
Ru 0.750 0.750 0.750
Pt 0.250 0.250 0.250
Pt 0.250 0.750 0.750
Pt 0.750 0.250 0.750
Pt 0.750 0.750 0.250

Here is an optimized crystal structure of Sr2NbO4 from Alexandria. Energies are from PBE.

Values from the calculation:
Formation energy (no corrections) ... -2538 meV/atom

Lattice parameters (Å, degrees): 6.313 6.241 6.894 90.00 108.52 90.00
Atoms (fractional coordinates):
Sr 0.153 0.250 0.024
Sr 0.246 0.250 0.554
Sr 0.754 0.750 0.446
Sr 0.847 0.750 0.976
Nb 0.301 0.750 0.812
Nb 0.699 0.250 0.188
O 0.051 0.532 0.755
O 0.051 0.968 0.755
O 0.478 0.750 0.087
O 0.495 0.750 0.651
O 0.505 0.250 0.349
O 0.522 0.250 0.913
O 0.949 0.032 0.245
O 0.949 0.468 0.245

Here is an optimized crystal structure of Mg5Sc4Ag2 from Alexandria. Energies are from PBE.

Values from the calculation:
ΔH_f (0 K) ... -0.0727 eV/atom

Lattice parameters (Å, degrees): 7.675 3.234 9.993 90.00 92.98 90.00
Atoms (fractional coordinates):
Mg 0.000 0.000 0.000
Mg 0.061 0.000 0.305
Mg 0.306 0.000 0.836
Mg 0.694 0.000 0.164
Mg 0.939 0.000 0.695
Sc 0.250 0.500 0.553
Sc 0.342 0.500 0.120
Sc 0.658 0.500 0.880
Sc 0.750 0.500 0.447
Ag 0.437 0.000 0.360
Ag 0.563 0.000 0.640

Here is an optimized crystal structure of LaMgGa from Alexandria. Energies are from PBE.

Values from the calculation:
ΔH_f (0 K) ... -0.2968 eV/atom

Lattice parameters (Å, degrees): 4.347 4.510 16.029 90.00 90.00 90.00
Atoms (fractional coordinates):
La 0.000 0.000 0.000
La 0.000 0.000 0.336
La 0.500 0.500 0.500
La 0.500 0.500 0.836
Mg 0.000 0.000 0.776
Mg 0.000 0.500 0.659
Mg 0.500 0.000 0.159
Mg 0.500 0.500 0.276
Ga 0.000 0.000 0.546
Ga 0.000 0.500 0.158
Ga 0.500 0.000 0.658
Ga 0.500 0.500 0.046

Here is an optimized crystal structure of La2In3 from Alexandria. Energies are from PBE.

Values from the calculation:
ΔH_f (0 K) ... -0.4953 eV/atom

Lattice parameters (Å, degrees): 7.830 7.830 4.959 90.00 90.00 90.00
Atoms (fractional coordinates):
La 0.170 0.330 0.000
La 0.330 0.830 0.000
La 0.670 0.170 0.000
La 0.830 0.670 0.000
In 0.000 0.000 0.500
In 0.132 0.632 0.500
In 0.368 0.132 0.500
In 0.500 0.500 0.500
In 0.632 0.868 0.500
In 0.868 0.368 0.500

Here is an optimized crystal structure of Zr2TaTl from Alexandria. Energies are from PBE.

Values from the calculation:
ΔH_f (0 K) ... -0.0036 eV/atom

Lattice parameters (Å, degrees): 3.559 3.559 6.887 90.00 90.00 90.00
Atoms (fractional coordinates):
Zr 0.000 0.000 0.231
Zr 0.000 0.000 0.769
Ta 0.500 0.500 0.000
Tl 0.500 0.500 0.500

Here is an optimized crystal structure of GaHgAu4 from Alexandria. Energies are from PBE.

Values from the calculation:
ΔH_f (0 K) ... 0.0508 eV/atom

Lattice parameters (Å, degrees): 5.602 5.602 5.602 60.00 60.00 60.00
Atoms (fractional coordinates):
Ga 0.000 0.000 0.000
Hg 0.750 0.750 0.750
Au 0.375 0.375 0.375
Au 0.375 0.375 0.875
Au 0.375 0.875 0.375
Au 0.875 0.375 0.375

Here is an optimized crystal structure of CsTa4S8 from Alexandria. Energies are from PBE.

Values from the calculation:
Formation energy (no corrections) ... -1128 meV/atom

Lattice parameters (Å, degrees): 9.801 9.801 9.801 40.44 40.44 40.44
Atoms (fractional coordinates):
Cs 0.000 0.000 0.000
Ta 0.000 0.000 0.500
Ta 0.000 0.500 0.000
Ta 0.500 0.000 0.000
Ta 0.500 0.500 0.500
S 0.224 0.224 0.224
S 0.225 0.723 0.723
S 0.277 0.277 0.775
S 0.277 0.775 0.277
S 0.723 0.225 0.723
S 0.723 0.723 0.225
S 0.775 0.277 0.277
S 0.776 0.776 0.776

Here is an optimized crystal structure of Tc2MoP from Alexandria. Energies are from PBE.

Values from the calculation:
ΔH_f (0 K) ... 0.0448 eV/atom

Lattice parameters (Å, degrees): 3.681 3.681 8.382 90.00 90.00 90.00
Atoms (fractional coordinates):
Tc 0.000 0.500 0.250
Tc 0.000 0.500 0.750
Tc 0.500 0.000 0.250
Tc 0.500 0.000 0.750
Mo 0.000 0.000 0.000
Mo 0.500 0.500 0.500
P 0.000 0.000 0.500
P 0.500 0.500 0.000

Here is an optimized crystal structure of Li2Ti5Pd12 from Alexandria. Energies are from PBE.

Values from the calculation:
ΔH_f (0 K) ... -0.3159 eV/atom

Lattice parameters (Å, degrees): 7.881 7.881 8.770 107.47 107.47 39.59
Atoms (fractional coordinates):
Li 0.247 0.753 0.000
Li 0.753 0.247 0.000
Ti 0.000 0.000 0.500
Ti 0.324 0.324 0.656
Ti 0.352 0.352 0.149
Ti 0.648 0.648 0.851
Ti 0.676 0.676 0.344
Pd 0.053 0.565 0.898
Pd 0.087 0.586 0.400
Pd 0.104 0.104 0.300
Pd 0.414 0.913 0.600
Pd 0.435 0.947 0.102
Pd 0.492 0.492 0.649
Pd 0.508 0.508 0.351
Pd 0.565 0.053 0.898
Pd 0.586 0.087 0.400
Pd 0.896 0.896 0.700
Pd 0.913 0.414 0.600
Pd 0.947 0.435 0.102

Here is an optimized crystal structure of Pr4YIn4 from Alexandria. Energies are from PBE.

Values from the calculation:
ΔH_f (0 K) ... -0.1238 eV/atom

Lattice parameters (Å, degrees): 7.341 7.341 10.863 90.00 90.00 90.00
Atoms (fractional coordinates):
Pr 0.028 0.250 0.178
Pr 0.250 0.028 0.678
Pr 0.250 0.472 0.678
Pr 0.472 0.250 0.178
Pr 0.528 0.750 0.822
Pr 0.750 0.528 0.322
Pr 0.750 0.972 0.322
Pr 0.972 0.750 0.822
Y 0.250 0.750 0.250
Y 0.750 0.250 0.750
In 0.000 0.250 0.485
In 0.000 0.750 0.515
In 0.250 0.000 0.985
In 0.250 0.500 0.985
In 0.500 0.250 0.485
In 0.500 0.750 0.515
In 0.750 0.000 0.015
In 0.750 0.500 0.015

Here is an optimized crystal structure of NaCoAs2 from Alexandria. Energies are from PBE.

Values from the calculation:
ΔH_f (0 K) ... 0.1146 eV/atom

Lattice parameters (Å, degrees): 6.319 6.319 6.319 90.00 90.00 90.00
Atoms (fractional coordinates):
Na 0.000 0.000 0.000
Na 0.000 0.500 0.500
Na 0.500 0.000 0.500
Na 0.500 0.500 0.000
Co 0.000 0.000 0.500
Co 0.000 0.500 0.000
Co 0.500 0.000 0.000
Co 0.500 0.500 0.500
As 0.250 0.250 0.250
As 0.250 0.250 0.750
As 0.250 0.750 0.250
As 0.250 0.750 0.750
As 0.750 0.250 0.250
As 0.750 0.250 0.750
As 0.750 0.750 0.250
As 0.750 0.750 0.750

Here is an optimized crystal structure of Pr2Sm3ErTm6 from Alexandria. Energies are from PBE.

Values from the calculation:
ΔH_f (0 K) ... 0.0189 eV/atom

Lattice parameters (Å, degrees): 6.177 6.177 11.717 95.02 95.02 119.98
Atoms (fractional coordinates):
Pr 0.166 0.834 0.000
Pr 0.834 0.166 0.000
Sm 0.000 0.000 0.500
Sm 0.333 0.667 0.500
Sm 0.667 0.333 0.500
Er 0.500 0.500 0.000
Tm 0.084 0.416 0.749
Tm 0.251 0.251 0.251
Tm 0.416 0.084 0.749
Tm 0.584 0.916 0.251
Tm 0.749 0.749 0.749
Tm 0.916 0.584 0.251

Here is an optimized crystal structure of AsIr3Ru from Alexandria. Energies are from PBE.

Values from the calculation:
ΔH_f (0 K) ... 1.4623 eV/atom

Lattice parameters (Å, degrees): 4.541 4.541 4.541 90.00 90.00 90.00
Atoms (fractional coordinates):
As 0.000 0.000 0.000
Ir 0.000 0.000 0.500
Ir 0.000 0.500 0.000
Ir 0.500 0.000 0.000
Ru 0.500 0.500 0.500

Here is an optimized crystal structure of TlSbSeN2 from Alexandria. Energies are from PBE.

Values from the calculation:
Formation energy (no corrections) ... 1708 meV/atom

Lattice parameters (Å, degrees): 4.360 4.360 5.795 90.00 90.00 90.00
Atoms (fractional coordinates):
Tl 0.000 0.000 0.000
Sb 0.500 0.500 0.500
Se 0.000 0.000 0.500
N 0.000 0.500 0.000
N 0.500 0.000 0.000

Here is an optimized crystal structure of Ag2IO from Alexandria. Energies are from PBE.

Values from the calculation:
Formation energy (no corrections) ... -2 meV/atom

Lattice parameters (Å, degrees): 5.598 5.598 12.206 90.00 90.00 90.00
Atoms (fractional coordinates):
Ag 0.115 0.250 0.125
Ag 0.250 0.615 0.375
Ag 0.250 0.885 0.875
Ag 0.385 0.250 0.625
Ag 0.615 0.750 0.625
Ag 0.750 0.115 0.875
Ag 0.750 0.385 0.375
Ag 0.885 0.750 0.125
I 0.000 0.000 0.500
I 0.000 0.500 0.750
I 0.500 0.000 0.250
I 0.500 0.500 0.000
O 0.000 0.000 0.000
O 0.000 0.500 0.250
O 0.500 0.000 0.750
O 0.500 0.500 0.500

Here is an optimized crystal structure of CsNiC2 from Alexandria. Energies are from PBE.

Values from the calculation:
ΔH_f (0 K) ... 3.1066 eV/atom

Lattice parameters (Å, degrees): 6.253 6.253 6.253 90.00 90.00 90.00
Atoms (fractional coordinates):
Cs 0.000 0.000 0.000
Cs 0.000 0.500 0.500
Cs 0.500 0.000 0.500
Cs 0.500 0.500 0.000
Ni 0.000 0.000 0.500
Ni 0.000 0.500 0.000
Ni 0.500 0.000 0.000
Ni 0.500 0.500 0.500
C 0.250 0.250 0.250
C 0.250 0.250 0.750
C 0.250 0.750 0.250
C 0.250 0.750 0.750
C 0.750 0.250 0.250
C 0.750 0.250 0.750
C 0.750 0.750 0.250
C 0.750 0.750 0.750

Here is an optimized crystal structure of ZrSnGeO6 from Alexandria. Energies are from PBE.

Values from the calculation:
Formation energy (no corrections) ... -2052 meV/atom

Lattice parameters (Å, degrees): 5.206 5.206 8.957 90.00 90.00 120.00
Atoms (fractional coordinates):
Zr 0.333 0.667 0.250
Zr 0.667 0.333 0.750
Sn 0.000 0.000 0.000
Sn 0.000 0.000 0.500
Ge 0.333 0.667 0.750
Ge 0.667 0.333 0.250
O 0.026 0.354 0.631
O 0.026 0.672 0.869
O 0.328 0.354 0.869
O 0.328 0.974 0.631
O 0.354 0.026 0.131
O 0.354 0.328 0.369
O 0.646 0.672 0.631
O 0.646 0.974 0.869
O 0.672 0.026 0.369
O 0.672 0.646 0.131
O 0.974 0.328 0.131
O 0.974 0.646 0.369

Here is an optimized crystal structure of Na4Tl3Au2 from Alexandria. Energies are from PBE.

Values from the calculation:
ΔH_f (0 K) ... -0.1816 eV/atom

Lattice parameters (Å, degrees): 8.391 8.391 6.274 104.25 104.25 34.22
Atoms (fractional coordinates):
Na 0.075 0.075 0.348
Na 0.286 0.286 0.800
Na 0.714 0.714 0.200
Na 0.925 0.925 0.652
Tl 0.364 0.364 0.339
Tl 0.500 0.500 0.000
Tl 0.636 0.636 0.661
Au 0.111 0.111 0.895
Au 0.889 0.889 0.105

Here is an optimized crystal structure of BiTe2AsI from Alexandria. Energies are from PBE.

Values from the calculation:
Formation energy (no corrections) ... 761 meV/atom

Lattice parameters (Å, degrees): 6.040 6.040 6.015 90.00 90.00 90.00
Atoms (fractional coordinates):
Bi 0.000 0.000 0.000
Te 0.000 0.500 0.000
Te 0.500 0.000 0.000
As 0.500 0.500 0.500
I 0.000 0.000 0.500

Here is an optimized crystal structure of In3HgP from Alexandria. Energies are from PBE.

Values from the calculation:
ΔH_f (0 K) ... 0.2691 eV/atom

Lattice parameters (Å, degrees): 5.286 5.286 5.286 90.00 90.00 90.00
Atoms (fractional coordinates):
In 0.000 0.000 0.500
In 0.000 0.500 0.000
In 0.500 0.000 0.000
Hg 0.500 0.500 0.500
P 0.000 0.000 0.000

Number 1: E_tot -5.65 eV per atom, magnetization 0.000 μB/cell. Number 2: E_tot -6.58 eV per atom, magnetization 0.000 μB/cell. Number 3: E_tot -6.02 eV per atom, magnetization 0.000 μB/cell. Number 4: E_tot -6.44 eV per atom, magnetization 3.793 μB/cell. Number 5: E_tot -7.29 eV per atom, magnetization 1.809 μB/cell. Number 6: E_tot -3.62 eV per atom, magnetization 0.000 μB/cell. Number 7: E_tot -3.48 eV per atom, magnetization 1.355 μB/cell. Number 8: E_tot -4.11 eV per atom, magnetization 0.000 μB/cell. Number 9: E_tot -7.83 eV per atom, magnetization 0.000 μB/cell. Number 10: E_tot -2.69 eV per atom, magnetization 0.000 μB/cell. Number 11: E_tot -7.38 eV per atom, magnetization 0.000 μB/cell. Number 12: E_tot -9.20 eV per atom, magnetization 0.000 μB/cell. Number 13: E_tot -5.87 eV per atom, magnetization 0.000 μB/cell. Number 14: E_tot -4.18 eV per atom, magnetization 0.000 μB/cell. Number 15: E_tot -4.32 eV per atom, magnetization 0.000 μB/cell. Number 16: E_tot -4.57 eV per atom, magnetization 0.000 μB/cell. Number 17: E_tot -6.64 eV per atom, magnetization 3.879 μB/cell. Number 18: E_tot -3.62 eV per atom, magnetization 1.963 μB/cell. Number 19: E_tot -3.05 eV per atom, magnetization 3.494 μB/cell. Number 20: E_tot -3.16 eV per atom, magnetization 0.002 μB/cell. Number 21: E_tot -7.27 eV per atom, magnetization 0.000 μB/cell. Number 22: E_tot -2.28 eV per atom, magnetization 0.000 μB/cell. Number 23: E_tot -2.51 eV per atom, magnetization 1.151 μB/cell. Number 24: E_tot -2.52 eV per atom, magnetization 0.000 μB/cell.